Here is a relaxed CdPdSeO crystal from OQMD. Energies are from PBE-GGA.

```
CdPdSeO
1.0
-0.853 1.420 6.363
-2.700 -1.714 5.745
4.847 -3.121 1.343
Pd Se Cd O
2 2 2 2
Direct
0.001 0.001 0.703
0.999 0.999 0.203
0.386 0.386 0.952
0.614 0.614 0.452
0.287 0.287 0.499
0.713 0.713 0.999
0.887 0.887 0.453
0.113 0.113 0.954
```

Results
Excess energy over the best structure of this formula in the dataset (meV/atom): 105
Space group: Cmc2_1 (36)